The following is a GGA-PBE calculation of La2TcIBr after structural relaxation, from Alexandria via LeMat-Bulk.

```
La2TcIBr
1.0
5.7956 0.0000 0.0000
0.0000 5.7956 0.0000
0.0000 0.0000 4.5308
La Tc I Br
2 1 1 1
Direct
0.0000 0.5000 0.0000
0.5000 0.0000 0.0000
0.0000 0.0000 0.5000
0.5000 0.5000 0.5000
0.0000 0.0000 0.0000
```

Output
Fermi-level density of states ... 1.23 states/eV per atom
Energy relative to the elements, uncorrected ... -10.3 meV per atom
Symmetry ... No. 123

---

The following is a GGA-PBE calculation of Ta3CdSn after structural relaxation, from Alexandria via LeMat-Bulk.

```
Ta3CdSn
1.0
4.9671 0.0000 0.0000
0.0000 4.9671 0.0000
0.0000 0.0000 4.9671
Ta Cd Sn
3 1 1
Direct
0.0000 0.0000 0.5000
0.0000 0.5000 0.0000
0.5000 0.0000 0.0000
0.0000 0.0000 0.0000
0.5000 0.5000 0.5000
```

Output
Fermi-level density of states ... 1.81 states/eV per atom
Formation energy ... 1940 meV per atom
E above lowest polymorph ... 0.074 eV/atom
Symmetry ... No. 221

---

The following is a GGA-PBE calculation of AcMgInBi after structural relaxation, from Alexandria via LeMat-Bulk.

```
AcMgInBi
1.0
0.0000 3.9606 3.9606
3.9606 0.0000 3.9606
3.9606 3.9606 0.0000
Ac Mg In Bi
1 1 1 1
Direct
0.0000 0.0000 0.0000
0.5000 0.5000 0.5000
0.2500 0.2500 0.2500
0.7500 0.7500 0.7500
```

Output
Fermi-level density of states ... 0.98 states/eV per atom
Formation energy ... -294 meV per atom
Symmetry ... No. 216

---

The following is a GGA-PBE calculation of DyNi2AsN after structural relaxation, from Alexandria via LeMat-Bulk.

```
DyNi2AsN
1.0
1.7312 -5.8138 0.0000
1.7312 5.8138 0.0000
0.0000 0.0000 6.8079
Dy Ni As N
2 4 2 2
Direct
0.0263 0.9737 0.7500
0.9737 0.0263 0.2500
0.3369 0.6631 0.5481
0.3369 0.6631 0.9519
0.6631 0.3369 0.0481
0.6631 0.3369 0.4519
0.2385 0.7615 0.2500
0.7615 0.2385 0.7500
0.5000 0.5000 0.0000
0.5000 0.5000 0.5000
```

Output
Fermi-level density of states ... 0.73 states/eV per atom
Energy relative to the elements, uncorrected ... -791.9 meV per atom
Symmetry ... No. 63

---

The following is a GGA-PBE calculation of LaU2Pd9 after structural relaxation, from Alexandria via LeMat-Bulk.

```
LaU2Pd9
1.0
4.1736 0.0000 0.0000
0.0000 4.1736 0.0000
0.0000 0.0000 12.5355
La U Pd
1 2 9
Direct
0.0000 0.0000 0.0000
0.0000 0.0000 0.3347
0.0000 0.0000 0.6653
0.0000 0.5000 0.1741
0.0000 0.5000 0.5000
0.0000 0.5000 0.8259
0.5000 0.0000 0.1741
0.5000 0.0000 0.5000
0.5000 0.0000 0.8259
0.5000 0.5000 0.0000
0.5000 0.5000 0.3364
0.5000 0.5000 0.6636
```

Output
Fermi-level density of states ... 1.46 states/eV per atom
Formation energy ... -622 meV per atom
Symmetry ... No. 123

---

The following is a GGA-PBE calculation of EuZnCdPt after structural relaxation, from Alexandria via LeMat-Bulk.

```
EuZnCdPt
1.0
0.0000 3.4894 3.4894
3.4894 0.0000 3.4894
3.4894 3.4894 0.0000
Eu Zn Cd Pt
1 1 1 1
Direct
0.0000 0.0000 0.0000
0.2500 0.2500 0.2500
0.5000 0.5000 0.5000
0.7500 0.7500 0.7500
```

Output
Fermi-level density of states ... 1.61 states/eV per atom
Formation energy ... -418 meV per atom
Symmetry ... No. 216

---

Number 6 is which compound?
EuZnCdPt

---

Please write out number 6 again, unchanged.
The following is a GGA-PBE calculation of EuZnCdPt after structural relaxation, from Alexandria via LeMat-Bulk.

```
EuZnCdPt
1.0
0.0000 3.4894 3.4894
3.4894 0.0000 3.4894
3.4894 3.4894 0.0000
Eu Zn Cd Pt
1 1 1 1
Direct
0.0000 0.0000 0.0000
0.2500 0.2500 0.2500
0.5000 0.5000 0.5000
0.7500 0.7500 0.7500
```

Output
Fermi-level density of states ... 1.61 states/eV per atom
Formation energy ... -418 meV per atom
Symmetry ... No. 216

---

Look up the Fermi-level density of states of the sixth one.
1.61 states/eV per atom

---

Which value of Fermi-level density of states does entry 5 give?
1.46 states/eV per atom